Model A:
Density functional theory data (PBE) for an optimized crystal structure of RhSBr3.

Values from the calculation:
Symmetry: No. 221

The structure in POSCAR format:
```
RhSBr3
1.0
5.123 0.000 0.000
0.000 5.123 0.000
0.000 0.000 5.123
S Rh Br
1 1 3
direct
0.000 0.000 0.000 S
0.500 0.500 0.500 Rh
0.000 0.500 0.000 Br
0.000 0.000 0.500 Br
0.500 0.000 0.000 Br
```



Model B:
Density functional theory data (PBE) for an optimized crystal structure of RhSBr3.

Values from the calculation:
Symmetry: No. 221

The structure in POSCAR format:
```
RhSBr3
1.0
-2.313 4.313 -1.305
-4.496 -2.111 0.993
0.302 1.611 4.792
S Rh Br
1 1 3
direct
0.500 0.500 0.500 S
0.000 0.000 0.000 Rh
0.000 0.500 0.000 Br
0.000 0.000 0.500 Br
0.500 0.000 0.000 Br
```



Ordering by calculated energy gives the sequence model B, model A, with the first entry being the most stable.



Model A:
Density functional theory data (PBE) for an optimized crystal structure of RhSeSBr2.

Values from the calculation:
Symmetry: No. 123

The structure in POSCAR format:
```
RhSeSBr2
1.0
4.938 0.000 0.000
0.000 4.938 0.000
0.000 0.000 5.141
S Rh Se Br
1 1 1 2
direct
0.000 0.000 0.000 S
0.500 0.500 0.500 Rh
0.000 0.000 0.500 Se
0.000 0.500 0.000 Br
0.500 0.000 0.000 Br
```



Model B:
Density functional theory data (PBE) for an optimized crystal structure of RhSeSBr2.

Values from the calculation:
Symmetry: No. 123

The structure in POSCAR format:
```
RhSeSBr2
1.0
-4.300 -2.028 -1.968
2.048 0.232 -4.714
1.799 -4.363 0.566
S Rh Se Br
1 1 1 2
direct
0.500 0.500 0.500 S
0.000 0.000 0.000 Rh
0.000 0.000 0.500 Se
0.000 0.500 0.000 Br
0.500 0.000 0.000 Br
```



Ordering by calculated energy gives the sequence model B, model A, with the first entry being the most stable.



Model A:
Density functional theory data (PBE) for an optimized crystal structure of SbRh3Br.

Values from the calculation:
Symmetry: No. 221

The structure in POSCAR format:
```
SbRh3Br
1.0
-3.426 1.664 -2.674
-1.346 -4.345 -0.980
-2.847 0.052 3.680
Sb Rh Br
1 3 1
direct
0.500 0.500 0.500 Sb
0.000 0.500 0.000 Rh
0.000 0.000 0.500 Rh
0.500 0.000 0.000 Rh
0.000 0.000 0.000 Br
```



Model B:
Density functional theory data (PBE) for an optimized crystal structure of SbRh3Br.

Values from the calculation:
Symmetry: No. 221

The structure in POSCAR format:
```
SbRh3Br
1.0
-1.523 -2.136 -4.167
4.653 -1.178 -1.097
-0.521 -4.277 2.382
Sb Rh Br
1 3 1
direct
0.000 0.000 0.000 Sb
0.000 0.500 0.000 Rh
0.000 0.000 0.500 Rh
0.500 0.000 0.000 Rh
0.500 0.500 0.500 Br
```



Ordering by calculated energy gives the sequence model A, model B, with the first entry being the most stable.



Model A:
Density functional theory data (PBE) for an optimized crystal structure of ScRhBr3.

Values from the calculation:
Symmetry: No. 221

The structure in POSCAR format:
```
ScRhBr3
1.0
5.262 0.000 0.000
0.000 5.262 0.000
0.000 0.000 5.262
Sc Rh Br
1 1 3
direct
0.000 0.000 0.000 Sc
0.500 0.500 0.500 Rh
0.000 0.500 0.000 Br
0.000 0.000 0.500 Br
0.500 0.000 0.000 Br
```



Model B:
Density functional theory data (PBE) for an optimized crystal structure of ScRhBr3.

Values from the calculation:
Symmetry: No. 221

The structure in POSCAR format:
```
ScRhBr3
1.0
5.058 0.000 0.000
0.000 5.058 0.000
0.000 0.000 5.058
Sc Rh Br
1 1 3
direct
0.500 0.500 0.500 Sc
0.000 0.000 0.000 Rh
0.000 0.500 0.000 Br
0.000 0.000 0.500 Br
0.500 0.000 0.000 Br
```



Ordering by calculated energy gives the sequence model A, model B, with the first entry being the most stable.



Model A:
Density functional theory data (PBE) for an optimized crystal structure of ScRh2Br.

Values from the calculation:
Symmetry: No. 47

The structure in POSCAR format:
```
ScRh2Br
1.0
3.226 0.000 0.000
0.000 4.746 0.000
0.000 0.000 4.365
Br Rh Sc
1 2 1
direct
0.000 0.500 0.500 Br
0.000 0.000 0.000 Rh
0.500 0.500 0.000 Rh
0.500 0.000 0.500 Sc
```



Model B:
Density functional theory data (PBE) for an optimized crystal structure of ScRh2Br.

Values from the calculation:
Symmetry: No. 166

The structure in POSCAR format:
```
ScRh2Br
1.0
8.513 -0.005 -0.003
7.931 3.093 -0.003
7.931 1.489 2.711
Br Rh Sc
1 2 1
direct
0.750 0.750 0.750 Br
0.997 0.997 0.997 Rh
0.503 0.503 0.503 Rh
0.250 0.250 0.250 Sc
```



Ordering by calculated energy gives the sequence model A, model B, with the first entry being the most stable.



Model A:
Density functional theory data (PBE) for an optimized crystal structure of ScRh2Br.

Values from the calculation:
Symmetry: No. 160

The structure in POSCAR format:
```
ScRh2Br
1.0
8.227 -0.003 -0.002
7.559 3.247 -0.002
7.559 1.553 2.851
Br Rh Sc
1 2 1
direct
0.756 0.756 0.756 Br
0.990 0.990 0.990 Rh
0.247 0.247 0.247 Rh
0.507 0.507 0.507 Sc
```



Model B:
Density functional theory data (PBE) for an optimized crystal structure of ScRh2Br.

Values from the calculation:
Symmetry: No. 6

The structure in POSCAR format:
```
ScRh2Br
1.0
-0.482 1.442 -3.055
-2.723 -1.980 -0.505
-5.364 3.837 2.658
Br Rh Sc
1 2 1
direct
0.500 0.961 0.706 Br
0.000 0.761 0.101 Rh
0.500 0.196 0.233 Rh
0.000 0.582 0.461 Sc
```



Ordering by calculated energy gives the sequence model B, model A, with the first entry being the most stable.



Model A:
Density functional theory data (PBE) for an optimized crystal structure of ScRhBr2.

Values from the calculation:
Symmetry: No. 71

The structure in POSCAR format:
```
ScRhBr2
1.0
-5.457 -0.438 0.114
-0.876 -4.717 2.639
1.960 5.084 0.542
Br Rh Sc
2 1 1
direct
0.001 0.001 0.000 Br
0.499 0.499 0.000 Br
0.750 0.250 0.500 Rh
0.250 0.750 0.500 Sc
```



Model B:
Density functional theory data (PBE) for an optimized crystal structure of ScRhBr2.

Values from the calculation:
Symmetry: No. 12

The structure in POSCAR format:
```
ScRhBr2
1.0
-1.353 -5.146 -0.259
2.747 0.641 4.519
-2.051 -1.635 3.741
Br Rh Sc
2 1 1
direct
0.000 0.000 0.000 Br
0.500 0.500 0.000 Br
0.500 0.000 0.500 Rh
0.000 0.500 0.500 Sc
```



Ordering by calculated energy gives the sequence model B, model A, with the first entry being the most stable.



Model A:
Density functional theory data (PBE) for an optimized crystal structure of ScRhBr2.

Values from the calculation:
Symmetry: No. 225

The structure in POSCAR format:
```
ScRhBr2
1.0
0.446 -2.167 4.198
-2.504 -3.924 0.923
2.189 -4.201 0.281
Sc Rh Br
1 1 2
direct
0.000 0.000 0.000 Sc
0.500 0.500 0.500 Rh
0.250 0.250 0.250 Br
0.750 0.750 0.750 Br
```



Model B:
Density functional theory data (PBE) for an optimized crystal structure of ScRhBr2.

Values from the calculation:
Symmetry: No. 160

The structure in POSCAR format:
```
ScRhBr2
1.0
9.446 0.011 0.006
8.791 3.457 0.006
8.791 1.672 3.026
Br Rh Sc
2 1 1
direct
0.026 0.026 0.026 Br
0.223 0.223 0.223 Br
0.491 0.491 0.491 Rh
0.760 0.760 0.760 Sc
```



Ordering by calculated energy gives the sequence model B, model A, with the first entry being the most stable.